Record 1
Mg2GaFeIr, relaxed, DFT GGA-PBE; total moment = 3.308 μB per cell; calculated density = 5286 kg/m³; electronic total energy = -4.20 eV per atom; SG = P4/mmm (123); crystal system = tetragonal
1.0
4.933 0.000 0.000
0.000 4.933 0.000
0.000 0.000 4.729
Mg Ga Fe Ir
2 1 1 1
Direct
0.000 0.500 0.000
0.500 0.000 0.000
0.000 0.000 0.500
0.500 0.500 0.500
0.000 0.000 0.000

***

Record 2
Pm2ErPuBi4, relaxed, DFT GGA-PBE; total moment = 5.131 μB per cell; calculated density = 9656 kg/m³; electronic total energy = -6.24 eV per atom; SG = P2/m (10); crystal system = monoclinic
1.0
7.856 0.000 0.000
0.000 4.541 0.000
-2.612 0.000 7.410
Pm Er Pu Bi
2 1 1 4
Direct
0.000 0.000 0.000
0.000 0.500 0.500
0.500 0.000 0.500
0.500 0.500 0.000
0.256 0.000 0.750
0.257 0.500 0.255
0.743 0.500 0.745
0.744 0.000 0.250

***

Record 3
PmCdSiPd, relaxed, DFT GGA-PBE; total moment = 0.000 μB per cell; calculated density = 7957 kg/m³; electronic total energy = -4.49 eV per atom; SG = F-43m (216); crystal system = cubic; E_form (uncorrected) = -417 meV per atom
1.0
6.891 0.000 0.000
0.000 6.891 0.000
0.000 0.000 6.891
Pm Cd Si Pd
4 4 4 4
Direct
0.000 0.000 0.000
0.000 0.500 0.500
0.500 0.000 0.500
0.500 0.500 0.000
0.000 0.000 0.500
0.000 0.500 0.000
0.500 0.000 0.000
0.500 0.500 0.500
0.250 0.250 0.250
0.250 0.750 0.750
0.750 0.250 0.750
0.750 0.750 0.250
0.250 0.250 0.750
0.250 0.750 0.250
0.750 0.250 0.250
0.750 0.750 0.750

***

Record 4
UNi4Te, relaxed, DFT GGA-PBE; total moment = 0.000 μB per cell; calculated density = 11293 kg/m³; electronic total energy = -6.44 eV per atom; SG = F-43m (216); crystal system = cubic; E_form (uncorrected) = -186 meV per atom
1.0
0.000 3.534 3.534
3.534 0.000 3.534
3.534 3.534 0.000
U Ni Te
1 4 1
Direct
0.000 0.000 0.000
0.122 0.626 0.626
0.626 0.122 0.626
0.626 0.626 0.122
0.626 0.626 0.626
0.250 0.250 0.250